Entry 1:
DFT (GGA-PBE) results for crystalline LiSc5O6 at its relaxed geometry.

## Properties
volume	10.83	Å³/atom
N(E_F)	8.271	states/eV per cell
ΔE_f (raw)	-2.94	eV per atom
final energy	-197.10	eV/cell

abc: 5.4158 9.3898 5.4186
angles: 90.00 109.42 90.00
Last column: nearest neighbours and their distance in Å.
Space group C2/m (No. 12)
Unique sites:
1 Li 0.0000 0.0000 0.0000 (multiplicity 2)  6 O 2.16-2.20
2 Sc 0.0000 0.1633 0.5000 (multiplicity 4)  6 O 2.20-2.25
3 Sc 0.0000 0.3341 0.0000 (multiplicity 4)  6 O 2.20-2.22
4 Sc 0.0000 0.5000 0.5000 (multiplicity 2)  6 O 2.21-2.26
5 O 0.2463 0.0000 0.7577 (multiplicity 4)  1 Li 2.16, 5 Sc 2.20-2.26
6 O 0.2474 0.1654 0.2485 (multiplicity 8)  1 Li 2.20, 5 Sc 2.21-2.25

Entry 2:
DFT (GGA-PBE) results for crystalline Ba2Tl3Sb2 at its relaxed geometry.

## Properties
volume	37.60	Å³/atom
N(E_F)	13.261	states/eV per cell
ΔE_f (raw)	-0.42	eV per atom
final energy	-44.20	eV/cell

abc: 4.7332 23.2244 4.7893
angles: 90.00 90.00 90.00
Last column: nearest neighbours and their distance in Å.
Space group Cmmm (No. 65)
Unique sites:
1 Ba 0.0000 0.1653 0.0000 (multiplicity 4)  6 Sb 3.49-3.86, 1 Tl 3.84
2 Tl 0.0000 0.0000 0.0000 (multiplicity 2)  8 Tl 3.72, 2 Ba 3.84
3 Tl 0.0000 0.4321 0.5000 (multiplicity 4)  1 Tl 3.15, 1 Sb 3.17
4 Sb 0.0000 0.2957 0.5000 (multiplicity 4)  1 Tl 3.17, 2 Sb 3.18, 4 Ba 3.49

Entry 3:
DFT (GGA-PBE) results for crystalline Ti2CoHRh at its relaxed geometry.

## Properties
volume	11.82	Å³/atom
N(E_F)	5.806	states/eV per cell
final energy	-35.57	eV/cell

abc: 4.0565 4.0565 3.5909
angles: 90.00 90.00 90.00
Last column: nearest neighbours and their distance in Å.
Space group P4/mmm (No. 123)
Unique sites:
1 Ti 0.0000 0.5000 0.0000 (multiplicity 2)  2 H 2.03
2 Co 0.0000 0.0000 0.5000 (multiplicity 1)  8 Ti 2.71, 4 Rh 2.87
3 H 0.5000 0.5000 0.0000 (multiplicity 1)  2 Rh 1.80
4 Rh 0.5000 0.5000 0.5000 (multiplicity 1)  2 H 1.80

Entry 4:
DFT (GGA-PBE) results for crystalline La2B4Os3 at its relaxed geometry.

## Properties
volume	16.70	Å³/atom
N(E_F)	27.060	states/eV per cell
formation enthalpy at 0 K	0.1133	eV per atom
final energy	-276.94	eV/cell

abc: 5.6766 9.6240 11.0018
angles: 90.00 90.00 90.00
Last column: nearest neighbours and their distance in Å.
Space group Fmmm (No. 69)
Unique sites:
1 La 0.0000 0.0000 0.1560 (multiplicity 8)  4 B 2.92-3.19
2 B 0.0000 0.1710 0.3758 (multiplicity 16)  3 Os 2.11-2.14
3 Os 0.0000 0.0000 0.5000 (multiplicity 4)  4 B 2.14
4 Os 0.2500 0.2500 0.0000 (multiplicity 8)  4 B 2.11